Entry 1:
Below is Zr2TlHg at its PBEsol-relaxed geometry, with properties calculated at the SCAN level.

a = 3.174 Å, b = 4.222 Å, c = 6.299 Å
α = 90.00°, β = 90.00°, γ = 90.00°
Fractional positions:
Hg 0.500 0.500 0.000
Zr 0.000 0.000 0.754
Zr 0.000 0.000 0.246
Tl 0.500 0.500 0.500

Output
For the magnetic moment, the calculation gives 0.0 μB per formula unit. The formation energy is -0.322 eV/atom. The symmetry is Pmmm.

Entry 2:
Below is Zr2TlHg at its PBEsol-relaxed geometry, with properties calculated at the SCAN level.

a = 4.216 Å, b = 4.216 Å, c = 5.679 Å
α = 111.79°, β = 111.79°, γ = 90.00°
Fractional positions:
Zr 0.750 0.250 0.500
Zr 0.000 0.000 0.000
Tl 0.250 0.750 0.500
Hg 0.500 0.500 0.000

Output
For the magnetic moment, the calculation gives 0.0 μB per formula unit. The formation energy is -0.232 eV/atom. The symmetry is I-4m2.

Entry 3:
Below is Zr2TlHg at its PBEsol-relaxed geometry, with properties calculated at the SCAN level.

a = 3.163 Å, b = 5.276 Å, c = 5.276 Å
α = 106.59°, β = 90.00°, γ = 90.00°
Fractional positions:
Tl 0.500 0.500 0.500
Hg 0.500 0.000 0.000
Zr 0.000 0.500 0.000
Zr 0.000 0.000 0.500

Output
For the magnetic moment, the calculation gives 0.0 μB per formula unit. The formation energy is -0.323 eV/atom. The symmetry is Cmmm.